VASP calculation (PBE) on a relaxed structure of BaScIn2.

Computed properties:
Symmetry: C2/m (12)
Formation energy from the elements: -0.215 eV/atom

Lattice parameters (Å, degrees): 5.2840 5.2840 7.2082 78.56 78.56 42.55
Sites, in units of the cell vectors:
Ba1 0.7500 0.7500 0.7500
In1 0.9884 0.9884 0.0773
In2 0.5116 0.5116 0.4227
Sc1 0.2500 0.2500 0.2500